Entry 1:
Material: Cr2OsPb
Method: DFT, PBE
State: relaxed

Cell and atoms, written as extended XYZ:
```
4
Lattice="-0.4896 4.0770 3.0373 -2.8547 -0.6947 4.1779 4.1367 -1.7242 -2.4497" Properties=species:S:1:pos:R:3 pbc="T T T"
Pb -0.1951 -0.3639 2.6679
Cr -3.3267 3.3645 7.1771
Cr -1.6898 1.7090 3.6456
Os 0.9875 2.0220 2.0976
```

Computed properties:
Energy of formation = 0.8394 eV per atom
Density of states at the Fermi level = 4.51 states/eV/cell
Volume = 15.32 Å³/atom

---

Entry 2:
Material: Pm3GaIr
Method: DFT, PBE
State: relaxed

Cell and atoms, written as extended XYZ:
```
20
Lattice="7.6066 0.0000 0.0000 0.0000 7.7246 -2.7281 0.0000 0.7749 9.0324" Properties=species:S:1:pos:R:3 pbc="T T T"
Pm 7.5729 2.1153 4.3637
Pm 3.7696 2.5219 3.3047
Pm 2.6837 1.4177 6.6914
Pm 4.9229 7.0818 -0.3870
Pm 6.4870 3.2194 0.9770
Pm 1.3587 0.3285 1.3599
Pm 0.0337 6.3842 1.9406
Pm 3.8370 5.9776 2.9997
Pm 6.2479 8.1710 4.9445
Pm 1.1196 5.2801 5.3274
Pm 5.1621 4.3087 6.3085
Pm 2.4446 4.1908 -0.0042
Ir 5.2293 0.6308 5.0469
Ir 1.4260 4.0064 2.6215
Ir 6.1806 4.4931 3.6828
Ir 2.3773 7.8687 1.2575
Ga 4.1760 1.4394 0.1904
Ga 7.2339 5.3017 -1.1737
Ga 3.4306 7.0601 6.1140
Ga 0.3727 3.1978 7.4780
```

Computed properties:
Energy of formation = -0.5325 eV per atom
Density of states at the Fermi level = 18.90 states/eV/cell
Volume = 27.34 Å³/atom

---

Entry 3:
Material: ScPPt
Method: DFT, PBE
State: relaxed

Cell and atoms, written as extended XYZ:
```
18
Lattice="3.8874 0.0000 0.0000 0.0000 6.5729 0.0078 0.0000 0.0336 11.2208" Properties=species:S:1:pos:R:3 pbc="T T T"
Sc 0.9719 6.3885 7.9826
Sc 2.9156 4.3135 0.9115
Sc 0.9719 2.2930 10.3172
Sc 2.9156 3.5165 4.2775
Sc 0.9719 3.0899 6.9511
Sc 2.9156 0.2180 3.2460
P 0.9719 4.8430 2.8250
P 2.9156 1.7635 8.4036
P 2.9156 4.9427 6.5704
P 0.9719 4.9500 10.3094
P 0.9719 1.6638 4.6583
P 2.9156 1.6565 0.9192
Pt 2.9156 4.1406 8.9025
Pt 2.9156 0.1120 10.1589
Pt 0.9719 5.5758 5.1458
Pt 2.9156 1.0307 6.0828
Pt 0.9719 2.4659 2.3261
Pt 0.9719 6.4944 1.0697
```

Computed properties:
Energy of formation = -1.2466 eV per atom
Density of states at the Fermi level = 3.52 states/eV/cell
Volume = 15.93 Å³/atom

---

Entry 4:
Material: CsCuAs
Method: DFT, PBE
State: relaxed

Cell and atoms, written as extended XYZ:
```
6
Lattice="4.1528 -0.0145 0.6226 0.0369 6.8406 0.1167 1.1112 2.0908 7.0100" Properties=species:S:1:pos:R:3 pbc="T T T"
As 4.0880 6.6135 2.4136
As 3.5384 3.5906 6.0225
Cu 2.1592 6.9987 1.1227
Cu 1.3135 3.2279 6.6949
Cs 1.9205 3.3728 2.5955
Cs 1.5535 6.8511 5.2202
```

Computed properties:
Energy of formation = -0.2821 eV per atom
Density of states at the Fermi level = 4.76 states/eV/cell
Volume = 32.24 Å³/atom
Energy above the most stable polymorph in this dataset = 0.000 eV/f.u.

---

Entry 5:
Material: DyTlGeTe3
Method: DFT, PBE
State: relaxed

Cell and atoms, written as extended XYZ:
```
12
Lattice="-0.1297 4.2664 0.1810 -8.7826 -0.3389 1.6952 5.5027 -0.2643 10.1729" Properties=species:S:1:pos:R:3 pbc="T T T"
Te -6.8267 2.8367 3.8727
Te -0.5732 0.6215 10.1494
Te -3.4701 0.7276 5.5724
Te 3.4170 0.8265 8.1765
Te 0.0605 2.9356 6.4767
Te -2.8364 3.0417 1.8998
Dy 1.3695 2.8560 9.2922
Dy -4.7791 0.8073 2.7569
Ge 1.9477 0.8789 5.8898
Ge -5.3573 2.7844 6.1594
Tl -0.5993 0.9087 3.3602
Tl -2.8104 2.7545 8.6889
```

Computed properties:
Formation energy from raw total energies = -4.2 eV per formula unit
Volume = 35.18 Å³/atom

---

Entry 6:
Material: CsBa2US6
Method: DFT, PBE
State: relaxed

Cell and atoms, written as extended XYZ:
```
20
Lattice="7.5621 0.0000 0.2975 0.0000 8.2960 0.0000 0.4882 0.0000 10.4604" Properties=species:S:1:pos:R:3 pbc="T T T"
Ba 0.3809 7.6643 2.8547
Ba 7.6695 0.6318 7.9032
Ba 4.4061 4.7798 8.2337
Ba 3.6443 3.5162 2.5242
S 1.9344 1.3318 4.7930
S 2.0908 5.4799 0.5860
S 1.5841 3.3657 8.3129
S 2.9294 7.5137 7.5265
S 6.1160 6.9642 5.9650
S 5.9596 2.8162 10.1719
S 1.0575 2.0853 1.1487
S 5.1210 0.7824 3.2314
S 6.9929 6.2107 9.6092
S 6.4663 4.9304 2.4451
S 5.0826 2.0627 6.5276
S 2.9677 6.2333 4.2303
Cs 3.7811 0.0000 0.1488
Cs 0.2441 4.1480 5.2302
U 4.0252 0.0000 5.3790
U 0.0000 4.1480 0.0000
```

Computed properties:
Formation energy from raw total energies = -14.5 eV per formula unit
Density of states at the Fermi level = 7.70 states/eV/cell
Volume = 32.75 Å³/atom